{
  "formula": "AlCr2Sb",
  "functional": "PBE-GGA",
  "state": "optimized geometry",
  "cell": [[4.2837, -1.6080, 0.0000], [4.2837, 1.6080, 0.0000], [-1.1509, 0.0000, 5.0244]],
  "species": ["Al", "Cr", "Cr", "Sb"],
  "fractional_positions": [[0.0000, 0.0000, 0.0000], [0.2526, 0.2526, 0.7637], [0.7474, 0.7474, 0.2363], [0.5000, 0.5000, 0.5000]],
  "sg": "C2/m, No. 12",
  "energy_ev_per_atom": -6.425,
  "volume_a3_per_cell": 69,
  "formation_energy_uncorrected_ev_per_atom": 0.353,
  "polymorph_energy_mev_per_atom": 208.5
}

{
  "formula": "LuScNb4",
  "functional": "PBE-GGA",
  "state": "optimized geometry",
  "cell": [[0.0000, 3.9870, 3.9870], [3.9870, 0.0000, 3.9870], [3.9870, 3.9870, 0.0000]],
  "species": ["Lu", "Sc", "Nb", "Nb", "Nb", "Nb"],
  "fractional_positions": [[0.0000, 0.0000, 0.0000], [0.7500, 0.7500, 0.7500], [0.3747, 0.3747, 0.3747], [0.3747, 0.3747, 0.8760], [0.3747, 0.8760, 0.3747], [0.8760, 0.3747, 0.3747]],
  "sg": "F-43m, No. 216",
  "energy_ev_per_atom": -8.386,
  "volume_a3_per_cell": 127,
  "delta_e_f_mev_per_atom": 136
}

{
  "formula": "MgNiAs2H",
  "functional": "PBE-GGA",
  "state": "optimized geometry",
  "cell": [[4.2636, 0.0000, 0.0000], [0.0000, 4.2636, 0.0000], [0.0000, 0.0000, 3.8067]],
  "species": ["Mg", "Ni", "As", "As", "H"],
  "fractional_positions": [[0.0000, 0.0000, 0.0000], [0.5000, 0.5000, 0.0000], [0.0000, 0.5000, 0.5000], [0.5000, 0.0000, 0.5000], [0.0000, 0.0000, 0.5000]],
  "sg": "P4/mmm, No. 123",
  "energy_ev_per_atom": -3.761,
  "volume_a3_per_cell": 69
}

{
  "formula": "LaTaRe2",
  "functional": "PBE-GGA",
  "state": "optimized geometry",
  "cell": [[4.8081, 0.0000, 0.0000], [0.0000, 4.8081, 0.0000], [0.0000, 0.0000, 3.3016]],
  "species": ["La", "Ta", "Re", "Re"],
  "fractional_positions": [[0.0000, 0.0000, 0.0000], [0.5000, 0.5000, 0.0000], [0.0000, 0.5000, 0.5000], [0.5000, 0.0000, 0.5000]],
  "sg": "P4/mmm, No. 123",
  "energy_ev_per_atom": -9.909,
  "volume_a3_per_cell": 76,
  "polymorph_energy_mev_per_atom": 286.9,
  "delta_e_f_mev_per_atom": 510
}

{
  "formula": "Er4Mg5Zr",
  "functional": "PBE-GGA",
  "state": "optimized geometry",
  "cell": [[3.6838, 0.0000, 0.0000], [0.0000, 3.6838, 0.0000], [0.0000, 0.0000, 18.8754]],
  "species": ["Er", "Er", "Er", "Er", "Mg", "Mg", "Mg", "Mg", "Mg", "Zr"],
  "fractional_positions": [[0.0000, 0.0000, 0.1029], [0.0000, 0.0000, 0.3102], [0.0000, 0.0000, 0.6898], [0.0000, 0.0000, 0.8971], [0.5000, 0.5000, 0.0000], [0.5000, 0.5000, 0.2064], [0.5000, 0.5000, 0.4116], [0.5000, 0.5000, 0.5884], [0.5000, 0.5000, 0.7936], [0.0000, 0.0000, 0.5000]],
  "sg": "P4/mmm, No. 123",
  "energy_ev_per_atom": -3.503,
  "volume_a3_per_cell": 256,
  "delta_e_f_mev_per_atom": -25
}